1.
A crystal of PbCl3F relaxed with PBEsol. Source: Alexandria, functional meta-GGA SCAN.

Summary:
formation energy from raw total energies = -307 meV/atom
space-group type = Pm-3m (221)

The structure in CIF format:
```
data_PbCl3F
_chemical_formula_sum 'Pb1 Cl3 F1'
_cell_length_a 4.686
_cell_length_b 4.686
_cell_length_c 4.686
_cell_angle_alpha 90.00
_cell_angle_beta 90.00
_cell_angle_gamma 90.00
_symmetry_space_group_name_H-M 'P 1'
_symmetry_Int_Tables_number 1
loop_
_symmetry_equiv_pos_as_xyz
'x,y,z'
loop_
_atom_site_label
_atom_site_type_symbol
_atom_site_fract_x
_atom_site_fract_y
_atom_site_fract_z
Cl1 Cl 0.000 0.500 0.000
Cl2 Cl 0.000 0.000 0.500
Cl3 Cl 0.500 0.000 0.000
F1 F 0.000 0.000 0.000
Pb1 Pb 0.500 0.500 0.500
```



2.
A crystal of CdTeAu2 relaxed with PBEsol. Source: Alexandria, functional meta-GGA SCAN.

Summary:
formation energy from raw total energies = -16 meV/atom
space-group type = P4/mmm (123)

The structure in CIF format:
```
data_CdTeAu2
_chemical_formula_sum 'Cd1 Te1 Au2'
_cell_length_a 3.781
_cell_length_b 3.781
_cell_length_c 5.720
_cell_angle_alpha 90.00
_cell_angle_beta 90.00
_cell_angle_gamma 90.00
_symmetry_space_group_name_H-M 'P 1'
_symmetry_Int_Tables_number 1
loop_
_symmetry_equiv_pos_as_xyz
'x,y,z'
loop_
_atom_site_label
_atom_site_type_symbol
_atom_site_fract_x
_atom_site_fract_y
_atom_site_fract_z
Te1 Te 0.500 0.500 0.500
Au1 Au 0.000 0.000 0.758
Au2 Au 0.000 0.000 0.242
Cd1 Cd 0.500 0.500 0.000
```



3.
A crystal of RbIn3Rh relaxed with PBEsol. Source: Alexandria, functional meta-GGA SCAN.

Summary:
space-group type = Pm-3m (221)

The structure in CIF format:
```
data_RbIn3Rh
_chemical_formula_sum 'Rb1 In3 Rh1'
_cell_length_a 5.168
_cell_length_b 5.168
_cell_length_c 5.168
_cell_angle_alpha 90.00
_cell_angle_beta 90.00
_cell_angle_gamma 90.00
_symmetry_space_group_name_H-M 'P 1'
_symmetry_Int_Tables_number 1
loop_
_symmetry_equiv_pos_as_xyz
'x,y,z'
loop_
_atom_site_label
_atom_site_type_symbol
_atom_site_fract_x
_atom_site_fract_y
_atom_site_fract_z
In1 In 0.000 0.000 0.500
In2 In 0.000 0.500 0.000
In3 In 0.500 0.000 0.000
Rh1 Rh 0.000 0.000 0.000
Rb1 Rb 0.500 0.500 0.500
```



4.
A crystal of ReAgTe2 relaxed with PBEsol. Source: Alexandria, functional meta-GGA SCAN.

Summary:
formation energy from raw total energies = 427 meV/atom
space-group type = R-3m (166)

The structure in CIF format:
```
data_ReAgTe2
_chemical_formula_sum 'Re1 Ag1 Te2'
_cell_length_a 3.382
_cell_length_b 3.382
_cell_length_c 8.635
_cell_angle_alpha 78.71
_cell_angle_beta 78.71
_cell_angle_gamma 60.00
_symmetry_space_group_name_H-M 'P 1'
_symmetry_Int_Tables_number 1
loop_
_symmetry_equiv_pos_as_xyz
'x,y,z'
loop_
_atom_site_label
_atom_site_type_symbol
_atom_site_fract_x
_atom_site_fract_y
_atom_site_fract_z
Re1 Re 0.000 0.000 0.000
Te1 Te 0.258 0.258 0.225
Te2 Te 0.742 0.742 0.775
Ag1 Ag 0.500 0.500 0.500
```



Number 1: total moment 0.58 μB per formula unit, VASP energy -0.77020 Ha/atom, calculated density 5.37 g cm⁻³. Number 2: total moment 0.00 μB per formula unit, VASP energy -1.89298 Ha/atom, calculated density 12.87 g cm⁻³. Number 3: total moment 0.00 μB per formula unit, VASP energy -1.14802 Ha/atom, calculated density 6.41 g cm⁻³. Number 4: total moment 0.00 μB per formula unit, VASP energy -1.61015 Ha/atom, calculated density 10.95 g cm⁻³.